[1]
VASP calculation (GGA-PBE) on a relaxed YSi2OsF crystal.

Cell lengths 4.6025, 4.6025, 4.4438 Å; angles 90.00, 90.00, 90.00 degrees
Atoms (fractional coordinates):
Y 0.0000 0.0000 0.0000
Si 0.0000 0.5000 0.5000
Si 0.5000 0.0000 0.5000
Os 0.5000 0.5000 0.5000
F 0.5000 0.5000 0.0000

**Space group**: P4/mmm, No. 123
**M_tot**: 0.00 μB/f.u.
**Final energy**: -6.3948 eV per atom


[2]
VASP calculation (GGA-PBE) on a relaxed La2MgCuC crystal.

Cell lengths 5.2563, 5.2563, 4.2835 Å; angles 90.00, 90.00, 90.00 degrees
Atoms (fractional coordinates):
La 0.0000 0.5000 0.0000
La 0.5000 0.0000 0.0000
Mg 0.0000 0.0000 0.5000
Cu 0.5000 0.5000 0.5000
C 0.0000 0.0000 0.0000

**Space group**: P4/mmm, No. 123
**M_tot**: 0.00 μB/f.u.
**Final energy**: -4.9141 eV per atom
**Formation energy**: 0.040 eV per atom
**Distance to the lowest polymorph of the same formula**: 3 meV per atom


[3]
VASP calculation (GGA-PBE) on a relaxed KMnAg crystal.

Cell lengths 5.1002, 5.1002, 5.1002 Å; angles 60.00, 60.00, 60.00 degrees
Atoms (fractional coordinates):
K 0.0000 0.0000 0.0000
Mn 0.5000 0.5000 0.5000
Ag 0.2500 0.2500 0.2500

**Space group**: F-43m, No. 216
**M_tot**: 4.62 μB/f.u.
**Final energy**: -3.5834 eV per atom
**Formation energy**: 0.789 eV per atom
**Distance to the lowest polymorph of the same formula**: 280 meV per atom


- M_tot of number 2 (La2MgCuC)?
  0.00 μB/f.u.


- Look up the M_tot of the second one.
  0.00 μB/f.u.


- Which value of M_tot does entry 3 give?
  4.62 μB/f.u.


- The lowest final energy belongs to which entry?
  YSi2OsF